! PBE VZnFe2N, optimized geometry; values from VASP
&SYSTEM
  ibrav = 0, nat = 5, ntyp = 4
/
ATOMIC_SPECIES
V 50.94 V.upf
Zn 65.41 Zn.upf
Fe 55.84 Fe.upf
N 14.01 N.upf
ATOMIC_POSITIONS crystal
V 0.000 0.000 0.000
Zn 0.500 0.500 0.000
Fe 0.000 0.500 0.500
Fe 0.500 0.000 0.500
N 0.000 0.000 0.500
CELL_PARAMETERS angstrom
3.830 0.000 0.000
0.000 3.830 0.000
0.000 0.000 3.900
! - Uncorrected formation energy: -0.233 eV/atom
! - Symmetry: P4/mmm (123)

=====

! PBE LiBeS2N, optimized geometry; values from VASP
&SYSTEM
  ibrav = 0, nat = 5, ntyp = 4
/
ATOMIC_SPECIES
Li 6.94 Li.upf
Be 9.01 Be.upf
S 32.06 S.upf
N 14.01 N.upf
ATOMIC_POSITIONS crystal
Li 0.000 0.000 0.000
Be 0.500 0.500 0.500
S 0.000 0.500 0.500
S 0.500 0.000 0.500
N 0.500 0.500 0.000
CELL_PARAMETERS angstrom
4.891 0.000 0.000
0.000 4.891 0.000
0.000 0.000 3.003
! - Uncorrected formation energy: 0.248 eV/atom
! - Energy above the most stable polymorph in this dataset: 0.000 eV/atom
! - Symmetry: P4/mmm (123)

=====

! PBE SbPd2Au4, optimized geometry; values from VASP
&SYSTEM
  ibrav = 0, nat = 14, ntyp = 3
/
ATOMIC_SPECIES
Sb 121.76 Sb.upf
Pd 106.42 Pd.upf
Au 196.97 Au.upf
ATOMIC_POSITIONS crystal
Sb 0.000 0.000 0.000
Sb 0.500 0.500 0.500
Pd 0.000 0.000 0.428
Pd 0.000 0.000 0.572
Pd 0.500 0.500 0.072
Pd 0.500 0.500 0.928
Au 0.000 0.000 0.138
Au 0.000 0.000 0.862
Au 0.000 0.500 0.250
Au 0.000 0.500 0.750
Au 0.500 0.000 0.250
Au 0.500 0.000 0.750
Au 0.500 0.500 0.362
Au 0.500 0.500 0.638
CELL_PARAMETERS angstrom
3.746 0.000 0.000
0.000 3.746 0.000
0.000 0.000 19.549
! - Uncorrected formation energy: 0.039 eV/atom
! - Energy above the most stable polymorph in this dataset: 0.000 eV/atom
! - Symmetry: I4/mmm (139)

=====

! PBE Al2NiPt2, optimized geometry; values from VASP
&SYSTEM
  ibrav = 0, nat = 10, ntyp = 3
/
ATOMIC_SPECIES
Al 26.98 Al.upf
Ni 58.69 Ni.upf
Pt 195.08 Pt.upf
ATOMIC_POSITIONS crystal
Al 0.159 0.341 0.000
Al 0.341 0.841 0.000
Al 0.659 0.159 0.000
Al 0.841 0.659 0.000
Ni 0.000 0.000 0.500
Ni 0.500 0.500 0.500
Pt 0.141 0.641 0.500
Pt 0.359 0.141 0.500
Pt 0.641 0.859 0.500
Pt 0.859 0.359 0.500
CELL_PARAMETERS angstrom
7.274 0.000 0.000
0.000 7.274 0.000
0.000 0.000 2.808
! - Formation energy from the elements: -0.694 eV/atom
! - Energy above the most stable polymorph in this dataset: 0.000 eV/atom
! - Symmetry: P4/mbm (127)

=====

! PBE Ti5Tc4Ag, optimized geometry; values from VASP
&SYSTEM
  ibrav = 0, nat = 10, ntyp = 3
/
ATOMIC_SPECIES
Ti 47.87 Ti.upf
Tc 98.00 Tc.upf
Ag 107.87 Ag.upf
ATOMIC_POSITIONS crystal
Ti 0.000 0.000 0.000
Ti 0.000 0.000 0.193
Ti 0.000 0.000 0.381
Ti 0.000 0.000 0.619
Ti 0.000 0.000 0.807
Tc 0.500 0.500 0.098
Tc 0.500 0.500 0.295
Tc 0.500 0.500 0.705
Tc 0.500 0.500 0.902
Ag 0.500 0.500 0.500
CELL_PARAMETERS angstrom
3.130 0.000 0.000
0.000 3.130 0.000
0.000 0.000 15.879
! - Formation energy from the elements: -0.415 eV/atom
! - Symmetry: P4/mmm (123)

=====

! PBE LaTcHg2, optimized geometry; values from VASP
&SYSTEM
  ibrav = 0, nat = 4, ntyp = 3
/
ATOMIC_SPECIES
La 138.91 La.upf
Tc 98.00 Tc.upf
Hg 200.59 Hg.upf
ATOMIC_POSITIONS crystal
La 0.000 0.000 0.000
Tc 0.000 0.000 0.500
Hg 0.366 0.500 0.722
Hg 0.634 0.500 0.278
CELL_PARAMETERS angstrom
3.438 0.000 0.000
0.000 5.050 0.000
-1.609 0.000 5.285
! - Formation energy from the elements: 0.156 eV/atom
! - Energy above the most stable polymorph in this dataset: 0.024 eV/atom
! - Symmetry: P2/m (10)

=====

! PBE LiMg2Cu, optimized geometry; values from VASP
&SYSTEM
  ibrav = 0, nat = 4, ntyp = 3
/
ATOMIC_SPECIES
Li 6.94 Li.upf
Mg 24.30 Mg.upf
Cu 63.55 Cu.upf
ATOMIC_POSITIONS crystal
Li 0.000 0.000 0.000
Mg 0.000 0.000 0.581
Mg 0.500 0.500 0.260
Cu 0.500 0.500 0.810
CELL_PARAMETERS angstrom
3.247 0.000 0.000
0.000 3.247 0.000
0.000 0.000 6.634
! - Formation energy from the elements: -0.042 eV/atom
! - Symmetry: P4mm (99)

=====

! PBE Er4Sn2Au, optimized geometry; values from VASP
&SYSTEM
  ibrav = 0, nat = 14, ntyp = 3
/
ATOMIC_SPECIES
Er 167.26 Er.upf
Sn 118.71 Sn.upf
Au 196.97 Au.upf
ATOMIC_POSITIONS crystal
Er 0.079 0.000 0.370
Er 0.177 0.500 0.070
Er 0.323 0.000 0.930
Er 0.421 0.500 0.630
Er 0.579 0.500 0.370
Er 0.677 0.000 0.070
Er 0.823 0.500 0.930
Er 0.921 0.000 0.630
Sn 0.147 0.500 0.661
Sn 0.353 0.000 0.339
Sn 0.647 0.000 0.661
Sn 0.853 0.500 0.339
Au 0.000 0.000 0.000
Au 0.500 0.500 0.000
CELL_PARAMETERS angstrom
11.303 0.000 0.000
0.000 4.592 0.000
-4.502 0.000 7.385
! - Formation energy from the elements: -0.626 eV/atom
! - Symmetry: C2/m (12)

=====

! PBE CeYFe17, optimized geometry; values from VASP
&SYSTEM
  ibrav = 0, nat = 38, ntyp = 3
/
ATOMIC_SPECIES
Ce 140.12 Ce.upf
Y 88.91 Y.upf
Fe 55.84 Fe.upf
ATOMIC_POSITIONS crystal
Ce 0.333 0.667 0.250
Ce 0.667 0.333 0.750
Y 0.000 0.000 0.250
Y 0.000 0.000 0.750
Fe 0.000 0.500 0.000
Fe 0.000 0.500 0.500
Fe 0.038 0.368 0.750
Fe 0.038 0.670 0.750
Fe 0.166 0.332 0.014
Fe 0.166 0.332 0.486
Fe 0.166 0.834 0.014
Fe 0.166 0.834 0.486
Fe 0.330 0.368 0.750
Fe 0.330 0.962 0.750
Fe 0.332 0.166 0.514
Fe 0.332 0.166 0.986
Fe 0.333 0.667 0.607
Fe 0.333 0.667 0.893
Fe 0.368 0.038 0.250
Fe 0.368 0.330 0.250
Fe 0.500 0.000 0.000
Fe 0.500 0.000 0.500
Fe 0.500 0.500 0.000
Fe 0.500 0.500 0.500
Fe 0.632 0.670 0.750
Fe 0.632 0.962 0.750
Fe 0.667 0.333 0.107
Fe 0.667 0.333 0.393
Fe 0.668 0.834 0.014
Fe 0.668 0.834 0.486
Fe 0.670 0.038 0.250
Fe 0.670 0.632 0.250
Fe 0.834 0.166 0.514
Fe 0.834 0.166 0.986
Fe 0.834 0.668 0.514
Fe 0.834 0.668 0.986
Fe 0.962 0.330 0.250
Fe 0.962 0.632 0.250
CELL_PARAMETERS angstrom
8.449 0.000 0.000
-4.224 7.317 0.000
0.000 0.000 8.297
! - Formation energy from the elements: 0.001 eV/atom
! - Symmetry: P6_3/mmc (194)

=====

! PBE ZrReSi, optimized geometry; values from VASP
&SYSTEM
  ibrav = 0, nat = 6, ntyp = 3
/
ATOMIC_SPECIES
Zr 91.22 Zr.upf
Re 186.21 Re.upf
Si 28.09 Si.upf
ATOMIC_POSITIONS crystal
Zr 0.248 0.250 0.437
Zr 0.752 0.750 0.563
Re 0.364 0.750 0.963
Re 0.636 0.250 0.037
Si 0.053 0.250 0.871
Si 0.947 0.750 0.129
CELL_PARAMETERS angstrom
5.065 0.000 0.000
0.000 4.186 0.000
-1.446 0.000 4.856
! - Uncorrected formation energy: -0.423 eV/atom
! - Symmetry: P2_1/m (11)

=====

! PBE Pr6Y3Cd, optimized geometry; values from VASP
&SYSTEM
  ibrav = 0, nat = 20, ntyp = 3
/
ATOMIC_SPECIES
Pr 140.91 Pr.upf
Y 88.91 Y.upf
Cd 112.41 Cd.upf
ATOMIC_POSITIONS crystal
Pr 0.045 0.250 0.392
Pr 0.137 0.750 0.184
Pr 0.155 0.250 0.688
Pr 0.235 0.250 0.993
Pr 0.347 0.750 0.798
Pr 0.450 0.250 0.601
Pr 0.550 0.750 0.399
Pr 0.653 0.250 0.202
Pr 0.765 0.750 0.007
Pr 0.845 0.750 0.312
Pr 0.863 0.250 0.816
Pr 0.955 0.750 0.608
Y 0.248 0.750 0.490
Y 0.347 0.250 0.293
Y 0.449 0.750 0.099
Y 0.551 0.250 0.901
Y 0.653 0.750 0.707
Y 0.752 0.250 0.510
Cd 0.053 0.750 0.894
Cd 0.947 0.250 0.106
CELL_PARAMETERS angstrom
11.217 0.000 0.000
0.000 5.200 0.000
-0.475 0.000 11.537
! - Formation energy from the elements: -0.023 eV/atom
! - Symmetry: P2_1/m (11)

=====

! PBE RbAlReRh2, optimized geometry; values from VASP
&SYSTEM
  ibrav = 0, nat = 5, ntyp = 4
/
ATOMIC_SPECIES
Rb 85.47 Rb.upf
Al 26.98 Al.upf
Re 186.21 Re.upf
Rh 102.91 Rh.upf
ATOMIC_POSITIONS crystal
Rb 0.000 0.000 0.000
Al 0.000 0.000 0.500
Re 0.500 0.500 0.000
Rh 0.000 0.500 0.500
Rh 0.500 0.000 0.500
CELL_PARAMETERS angstrom
4.631 0.000 0.000
0.000 4.631 0.000
0.000 0.000 5.245
! - Formation energy from the elements: 1.682 eV/atom
! - Symmetry: P4/mmm (123)

=====

no.,raw total energy (eV per atom)
1,-7.362
2,-4.196
3,-3.906
4,-5.764
5,-8.794
6,-3.818
7,-2.342
8,-4.846
9,-8.223
10,-9.230
11,-4.921
12,-4.690